Below is an optimized crystal structure of PrVTeO2, with properties calculated at the PBE+U level.

```
PrVTeO2
1.0
-4.982 0.375 -2.276
-1.079 -5.210 1.504
-1.799 4.665 4.703
Pr V Te O
2 2 2 4
Direct
0.250 0.605 0.211
0.750 0.395 0.789
0.250 0.937 0.875
0.750 0.063 0.125
0.750 0.746 0.491
0.250 0.254 0.509
0.500 0.228 0.000
0.000 0.772 0.000
0.500 0.772 0.000
0.000 0.228 0.000
```

Raw total energy = -70.53 eV for the cell shown
Space group = Cmcm, No. 63
Total magnetic moment = 2.0 μB/f.u.